## Li4TiCo3O8 (PBE+U)

Data for crystalline Li4TiCo3O8 at its relaxed geometry.

The structure in POSCAR format:
```
Li4TiCo3O8
1.0
-1.0785 0.5478 -4.9435
3.7501 -3.9210 -1.2859
-4.5590 -4.5592 0.4405
O Li Co Ti
8 4 3 1
direct
0.1179 0.5749 0.6099 O
0.1074 0.0953 0.3617 O
0.6079 0.3928 0.8679 O
0.1388 0.0721 0.8902 O
0.6076 0.9234 0.6421 O
0.6319 0.9244 0.1092 O
0.1064 0.5944 0.1312 O
0.6293 0.4200 0.3702 O
0.0062 0.9168 0.6242 Li
0.5059 0.0865 0.3749 Li
0.5040 0.5770 0.1215 Li
0.0039 0.4217 0.8755 Li
0.5029 0.5820 0.6198 Co
0.0129 0.9111 0.1426 Co
0.9870 0.4273 0.3822 Co
0.5037 0.0803 0.8768 Ti
```

Calculated values
For the total energy, the calculation gives -6.19 eV per atom. The value obtained for the relative energy among the computed polymorphs is 6 meV/atom. The value obtained for the volume is 183 Å³ per cell. Its total moment is 11.04 μB/f.u.